The following is a DFT calculation (PBE) of a relaxed Zr2CrTe4 crystal.

The structure in extended XYZ format:
```
7
Lattice="7.5193 -1.9833 0.0000 7.5193 1.9833 0.0000 -3.1295 0.0000 6.1689" Properties=species:S:1:pos:R:3 pbc="T T T"
Zr 3.0424 0.0000 1.4202
Zr 8.8668 0.0000 4.7486
Cr 5.9546 0.0000 3.0844
Te 0.3822 0.0000 2.7710
Te 5.7126 0.0000 0.3144
Te 6.1966 0.0000 5.8545
Te 11.5270 0.0000 3.3978
```

- E_tot (eV per atom) = -6.30
- raw formation energy (eV per atom) = -0.683
- crystal system = monoclinic
- symmetry = No. 12



The following is a DFT calculation (PBE) of a relaxed LiTaRh3 crystal.

The structure in extended XYZ format:
```
5
Lattice="4.7505 0.0000 0.0000 0.0000 4.7505 0.0000 0.0000 0.0000 4.7505" Properties=species:S:1:pos:R:3 pbc="T T T"
Li 0.0000 0.0000 0.0000
Ta 2.3753 2.3753 2.3753
Rh 0.0000 2.3753 2.3753
Rh 2.3753 0.0000 2.3753
Rh 2.3753 2.3753 0.0000
```

- E_tot (eV per atom) = -6.52
- crystal system = cubic
- symmetry = No. 221
- energy relative to the elements (meV per atom) = 641



The following is a DFT calculation (PBE) of a relaxed ZrTlSe2 crystal.

The structure in extended XYZ format:
```
8
Lattice="-3.5735 3.5735 5.6487 3.5735 -3.5735 5.6487 3.5735 3.5735 -5.6487" Properties=species:S:1:pos:R:3 pbc="T T T"
Zr 0.0000 0.0000 0.0000
Zr 0.0000 3.5735 2.8243
Tl 3.5735 0.0000 2.8243
Tl 0.0000 0.0000 5.6487
Se 5.3602 1.2425 -1.4122
Se 1.2425 1.7867 1.4122
Se -1.7867 2.3310 4.2365
Se 2.3310 1.7867 7.0608
```

- E_tot (eV per atom) = -5.15
- raw formation energy (eV per atom) = -0.683
- crystal system = tetragonal
- symmetry = No. 122